(1)
Compound: Pm4Zn3Ga
Source: Alexandria via LeMat-Bulk
Functional: PBE
Structure: optimized geometry

Structure (POSCAR):
```
Pm4Zn3Ga
1.0
2.587 1.494 8.474
-2.587 1.494 8.474
0.000 -2.987 8.474
Pm Zn Ga
4 3 1
Direct
0.125 0.125 0.125
0.375 0.375 0.375
0.625 0.625 0.625
0.875 0.875 0.875
0.000 0.000 0.000
0.251 0.251 0.251
0.749 0.749 0.749
0.500 0.500 0.500
```

- ΔE_f (kJ/mol of formula units) = -292
- space-group type = No. 166

=====

(2)
Compound: CeZnInAu
Source: Alexandria via LeMat-Bulk
Functional: PBE
Structure: optimized geometry

Structure (POSCAR):
```
CeZnInAu
1.0
0.000 3.524 3.524
3.524 0.000 3.524
3.524 3.524 0.000
Ce Zn In Au
1 1 1 1
Direct
0.000 0.000 0.000
0.250 0.250 0.250
0.500 0.500 0.500
0.750 0.750 0.750
```

- ΔE_f (kJ/mol of formula units) = -189
- space-group type = No. 216

=====

(3)
Compound: LiHf2PaAs4
Source: Alexandria via LeMat-Bulk
Functional: PBE
Structure: optimized geometry

Structure (POSCAR):
```
LiHf2PaAs4
1.0
6.645 0.000 0.000
0.000 3.905 0.000
-2.206 0.000 6.550
Li Hf Pa As
1 2 1 4
Direct
0.000 0.000 0.000
0.000 0.500 0.500
0.500 0.000 0.500
0.500 0.500 0.000
0.237 0.000 0.739
0.249 0.500 0.259
0.751 0.500 0.741
0.763 0.000 0.261
```

- ΔE_f (kJ/mol of formula units) = -736
- space-group type = No. 10

=====

(4)
Compound: CsYTeI2
Source: Alexandria via LeMat-Bulk
Functional: PBE
Structure: optimized geometry

Structure (POSCAR):
```
CsYTeI2
1.0
6.178 0.000 0.000
0.000 6.178 0.000
0.000 0.000 5.912
Cs Y Te I
1 1 1 2
Direct
0.000 0.000 0.000
0.500 0.500 0.500
0.500 0.500 0.000
0.000 0.500 0.500
0.500 0.000 0.500
```

- space-group type = No. 123
- ΔE_f (raw) (kJ per mole of atoms) = -130.43

=====

Number 1: total moment 0.0 μB/cell, electronic total energy -3.610 eV per atom. Number 2: total moment 0.6 μB/cell, electronic total energy -3.795 eV per atom. Number 3: total moment 0.0 μB/cell, electronic total energy -7.192 eV per atom. Number 4: total moment 0.0 μB/cell, electronic total energy -4.064 eV per atom.